Entry 1:
Here is an optimized crystal structure of Tm5Mg3Sc from Alexandria. Energies are from PBE-GGA.

CIF file:
```
data_Tm5Mg3Sc
_chemical_formula_sum 'Tm10 Mg6 Sc2'
_space_group_name_H-M_alt 'P 1'
_space_group_IT_number 1
_cell_length_a 7.938
_cell_length_b 7.938
_cell_length_c 10.031
_cell_angle_alpha 82.78
_cell_angle_beta 82.78
_cell_angle_gamma 65.32
loop_
_space_group_symop_operation_xyz
'x,y,z'
loop_
_atom_site_label
_atom_site_type_symbol
_atom_site_fract_x
_atom_site_fract_y
_atom_site_fract_z
_atom_site_occupancy
Tm1 Tm 0.957 0.318 0.252 1
Tm2 Tm 0.325 0.675 0.000 1
Tm3 Tm 0.737 0.737 0.058 1
Tm4 Tm 0.526 0.526 0.329 1
Tm5 Tm 0.474 0.474 0.671 1
Tm6 Tm 0.263 0.263 0.942 1
Tm7 Tm 0.318 0.957 0.252 1
Tm8 Tm 0.675 0.325 0.000 1
Tm9 Tm 0.043 0.682 0.748 1
Tm10 Tm 0.682 0.043 0.748 1
Mg1 Mg 0.663 0.663 0.787 1
Mg2 Mg 0.716 0.716 0.492 1
Mg3 Mg 0.000 0.000 0.000 1
Mg4 Mg 0.000 0.000 0.500 1
Mg5 Mg 0.337 0.337 0.213 1
Mg6 Mg 0.284 0.284 0.508 1
Sc1 Sc 0.101 0.101 0.733 1
Sc2 Sc 0.899 0.899 0.267 1
```

Output
- E_form: 0.45 eV/atom
- Space group: No. 12



Entry 2:
Here is an optimized crystal structure of Nd3Hg2BRu3 from Alexandria. Energies are from PBE-GGA.

CIF file:
```
data_Nd3Hg2BRu3
_chemical_formula_sum 'Nd3 Hg2 B1 Ru3'
_space_group_name_H-M_alt 'P 1'
_space_group_IT_number 1
_cell_length_a 3.553
_cell_length_b 7.824
_cell_length_c 7.824
_cell_angle_alpha 120.00
_cell_angle_beta 90.00
_cell_angle_gamma 90.00
loop_
_space_group_symop_operation_xyz
'x,y,z'
loop_
_atom_site_label
_atom_site_type_symbol
_atom_site_fract_x
_atom_site_fract_y
_atom_site_fract_z
_atom_site_occupancy
Nd1 Nd 0.000 0.000 0.344 1
Nd2 Nd 0.000 0.656 0.656 1
Nd3 Nd 0.000 0.344 0.000 1
Hg1 Hg 0.500 0.333 0.667 1
Hg2 Hg 0.500 0.667 0.333 1
B1 B 0.000 0.000 0.000 1
Ru1 Ru 0.500 0.796 0.000 1
Ru2 Ru 0.500 0.204 0.204 1
Ru3 Ru 0.500 0.000 0.796 1
```

Output
- E_form: -0.18 eV/atom
- Space group: No. 189



Entry 3:
Here is an optimized crystal structure of Ag6Sn2Au from Alexandria. Energies are from PBE-GGA.

CIF file:
```
data_Ag6Sn2Au
_chemical_formula_sum 'Ag12 Sn4 Au2'
_space_group_name_H-M_alt 'P 1'
_space_group_IT_number 1
_cell_length_a 7.306
_cell_length_b 7.759
_cell_length_c 7.759
_cell_angle_alpha 78.18
_cell_angle_beta 64.27
_cell_angle_gamma 64.27
loop_
_space_group_symop_operation_xyz
'x,y,z'
loop_
_atom_site_label
_atom_site_type_symbol
_atom_site_fract_x
_atom_site_fract_y
_atom_site_fract_z
_atom_site_occupancy
Ag1 Ag 0.414 0.662 0.391 1
Ag2 Ag 0.086 0.609 0.338 1
Ag3 Ag 0.586 0.338 0.609 1
Ag4 Ag 0.914 0.391 0.662 1
Ag5 Ag 0.877 0.006 0.388 1
Ag6 Ag 0.623 0.612 0.994 1
Ag7 Ag 0.123 0.994 0.612 1
Ag8 Ag 0.377 0.388 0.006 1
Ag9 Ag 0.189 0.822 0.985 1
Ag10 Ag 0.311 0.015 0.178 1
Ag11 Ag 0.811 0.178 0.015 1
Ag12 Ag 0.689 0.985 0.822 1
Sn1 Sn 0.090 0.614 0.770 1
Sn2 Sn 0.410 0.230 0.386 1
Sn3 Sn 0.910 0.386 0.230 1
Sn4 Sn 0.590 0.770 0.614 1
Au1 Au 0.250 0.178 0.822 1
Au2 Au 0.750 0.822 0.178 1
```

Output
- E_form: 0.02 eV/atom
- Space group: No. 15



Entry 4:
Here is an optimized crystal structure of KSr2Rh from Alexandria. Energies are from PBE-GGA.

CIF file:
```
data_KSr2Rh
_chemical_formula_sum 'K1 Sr2 Rh1'
_space_group_name_H-M_alt 'P 1'
_space_group_IT_number 1
_cell_length_a 4.432
_cell_length_b 4.432
_cell_length_c 10.993
_cell_angle_alpha 78.10
_cell_angle_beta 78.10
_cell_angle_gamma 60.07
loop_
_space_group_symop_operation_xyz
'x,y,z'
loop_
_atom_site_label
_atom_site_type_symbol
_atom_site_fract_x
_atom_site_fract_y
_atom_site_fract_z
_atom_site_occupancy
Sr1 Sr 0.965 0.965 0.108 1
Sr2 Sr 0.535 0.535 0.392 1
K1 K 0.750 0.750 0.750 1
Rh1 Rh 0.250 0.250 0.250 1
```

Output
- E_form: -0.08 eV/atom
- Space group: No. 12